# OsRh

A geometry-optimized OsRh structure (PBE, Alexandria via LeMat-Bulk).

a b c (Å): 9.940 10.797 8.185
angles (deg): 90.00 90.00 90.00
Atoms (fractional coordinates):
Os1 0.750 0.905 0.250
Os2 0.250 0.905 0.750
Os3 0.000 0.345 0.000
Os4 0.250 0.095 0.250
Os5 0.750 0.405 0.750
Os6 0.000 0.655 0.000
Os7 0.000 0.155 0.500
Os8 0.500 0.655 0.500
Os9 0.000 0.845 0.500
Os10 0.500 0.845 0.000
Os11 0.500 0.155 0.000
Os12 0.250 0.595 0.750
Os13 0.500 0.345 0.500
Os14 0.250 0.405 0.250
Os15 0.750 0.595 0.250
Os16 0.750 0.095 0.750
Rh1 0.422 0.750 0.750
Rh2 0.578 0.250 0.750
Rh3 0.828 0.000 0.500
Rh4 0.078 0.250 0.250
Rh5 0.578 0.750 0.250
Rh6 0.422 0.250 0.250
Rh7 0.828 0.500 0.000
Rh8 0.172 0.000 0.500
Rh9 0.922 0.750 0.250
Rh10 0.672 0.000 0.000
Rh11 0.328 0.000 0.000
Rh12 0.078 0.750 0.750
Rh13 0.922 0.250 0.750
Rh14 0.328 0.500 0.500
Rh15 0.172 0.500 0.000
Rh16 0.672 0.500 0.500

Summary:
Energy relative to the elements (eV/atom): 1.616



# OsRh

A geometry-optimized OsRh structure (PBE, Alexandria via LeMat-Bulk).

a b c (Å): 3.908 3.908 3.908
angles (deg): 60.00 60.00 60.00
Atoms (fractional coordinates):
Os1 0.000 0.000 0.000
Rh1 0.750 0.750 0.750

Summary:
Energy relative to the elements (eV/atom): 1.312



Please write out number 2 again, unchanged.
# OsRh

A geometry-optimized OsRh structure (PBE, Alexandria via LeMat-Bulk).

a b c (Å): 3.908 3.908 3.908
angles (deg): 60.00 60.00 60.00
Atoms (fractional coordinates):
Os1 0.000 0.000 0.000
Rh1 0.750 0.750 0.750

Summary:
Energy relative to the elements (eV/atom): 1.312



- What is the energy relative to the elements in the second record?
  1.312 eV/atom



- The highest energy relative to the elements belongs to which entry?
  number 1



- Number 1 is which compound?
  OsRh